Below is crystalline YBeN2O at its relaxed geometry, with properties calculated at the PBE level.

Unit cell a=3.368 b=3.368 c=4.329 alpha=90.00 beta=90.00 gamma=90.00
Fractional positions:
1 Y 0.000 0.000 0.000
2 Be 0.500 0.500 0.500
3 N 0.000 0.500 0.500
4 N 0.500 0.000 0.500
5 O 0.500 0.500 0.000

Calculated values
Volume, Å³/atom: 9.82
DOS at the Fermi energy, states/eV/atom: 0.7450
Symmetry: P4/mmm (123)

Below is crystalline BeZnNO2 at its relaxed geometry, with properties calculated at the PBE level.

Unit cell a=3.615 b=3.615 c=3.361 alpha=90.00 beta=90.00 gamma=90.00
Fractional positions:
1 Be 0.000 0.000 0.000
2 Zn 0.500 0.500 0.500
3 N 0.000 0.000 0.500
4 O 0.000 0.500 0.000
5 O 0.500 0.000 0.000

Calculated values
Volume, Å³/atom: 8.78
DOS at the Fermi energy, states/eV/atom: 0.4347
Symmetry: P4/mmm (123)

Below is crystalline BeZnN2O at its relaxed geometry, with properties calculated at the PBE level.

Unit cell a=3.854 b=3.854 c=3.862 alpha=90.00 beta=90.00 gamma=90.00
Fractional positions:
1 Be 0.000 0.000 0.000
2 Zn 0.500 0.500 0.500
3 N 0.000 0.500 0.500
4 N 0.500 0.000 0.500
5 O 0.500 0.500 0.000

Calculated values
Volume, Å³/atom: 11.47
DOS at the Fermi energy, states/eV/atom: 0.4024
Symmetry: P4/mmm (123)

Below is crystalline BeZnNO2 at its relaxed geometry, with properties calculated at the PBE level.

Unit cell a=3.873 b=3.873 c=3.738 alpha=90.00 beta=90.00 gamma=90.00
Fractional positions:
1 Be 0.000 0.000 0.000
2 Zn 0.500 0.500 0.500
3 N 0.500 0.500 0.000
4 O 0.000 0.500 0.500
5 O 0.500 0.000 0.500

Calculated values
Volume, Å³/atom: 11.21
DOS at the Fermi energy, states/eV/atom: 0.3081
Symmetry: P4/mmm (123)

Below is crystalline Be2ZnNO at its relaxed geometry, with properties calculated at the PBE level.

Unit cell a=4.385 b=4.385 c=3.508 alpha=90.00 beta=90.00 gamma=90.00
Fractional positions:
1 Be 0.000 0.500 0.000
2 Be 0.500 0.000 0.000
3 Zn 0.000 0.000 0.000
4 N 0.500 0.500 0.500
5 O 0.000 0.000 0.500

Calculated values
Volume, Å³/atom: 13.49
DOS at the Fermi energy, states/eV/atom: 0.3471
Symmetry: P4/mmm (123)

Below is crystalline BeZnN2O at its relaxed geometry, with properties calculated at the PBE level.

Unit cell a=3.075 b=3.075 c=6.185 alpha=90.00 beta=90.00 gamma=90.00
Fractional positions:
1 Be 0.000 0.000 0.000
2 Zn 0.500 0.500 0.500
3 N 0.000 0.500 0.000
4 N 0.500 0.000 0.000
5 O 0.000 0.000 0.500

Calculated values
Volume, Å³/atom: 11.70
DOS at the Fermi energy, states/eV/atom: 0.2547
Symmetry: P4/mmm (123)

Below is crystalline ZrBeNO2 at its relaxed geometry, with properties calculated at the PBE level.

Unit cell a=4.090 b=4.090 c=4.253 alpha=90.00 beta=90.00 gamma=90.00
Fractional positions:
1 Zr 0.000 0.000 0.000
2 Be 0.500 0.500 0.500
3 N 0.000 0.000 0.500
4 O 0.000 0.500 0.000
5 O 0.500 0.000 0.000

Calculated values
Volume, Å³/atom: 14.23
DOS at the Fermi energy, states/eV/atom: 0.6559
Symmetry: P4/mmm (123)

Below is crystalline ZrBeN2O at its relaxed geometry, with properties calculated at the PBE level.

Unit cell a=3.355 b=3.355 c=3.885 alpha=90.00 beta=90.00 gamma=90.00
Fractional positions:
1 Zr 0.000 0.000 0.000
2 Be 0.500 0.500 0.500
3 N 0.000 0.500 0.500
4 N 0.500 0.000 0.500
5 O 0.500 0.500 0.000

Calculated values
Volume, Å³/atom: 8.74
DOS at the Fermi energy, states/eV/atom: 0.4987
Symmetry: P4/mmm (123)

Below is crystalline ZrBeN2O at its relaxed geometry, with properties calculated at the PBE level.

Unit cell a=4.280 b=4.280 c=4.072 alpha=90.00 beta=90.00 gamma=90.00
Fractional positions:
1 Zr 0.000 0.000 0.000
2 Be 0.500 0.500 0.500
3 N 0.000 0.500 0.000
4 N 0.500 0.000 0.000
5 O 0.000 0.000 0.500

Calculated values
Volume, Å³/atom: 14.92
DOS at the Fermi energy, states/eV/atom: 0.4554
Symmetry: P4/mmm (123)

Below is crystalline ZrBeNO2 at its relaxed geometry, with properties calculated at the PBE level.

Unit cell a=3.437 b=3.437 c=3.636 alpha=90.00 beta=90.00 gamma=90.00
Fractional positions:
1 Zr 0.000 0.000 0.000
2 Be 0.500 0.500 0.500
3 N 0.500 0.500 0.000
4 O 0.000 0.500 0.500
5 O 0.500 0.000 0.500

Calculated values
Volume, Å³/atom: 8.59
DOS at the Fermi energy, states/eV/atom: 0.3081
Symmetry: P4/mmm (123)

Below is crystalline BeOs2N at its relaxed geometry, with properties calculated at the PBE level.

Unit cell a=3.919 b=3.919 c=3.919 alpha=60.00 beta=60.00 gamma=60.00
Fractional positions:
1 Be 0.000 0.000 0.000
2 Os 0.250 0.250 0.250
3 Os 0.750 0.750 0.750
4 N 0.500 0.500 0.500

Calculated values
Volume, Å³/atom: 10.64
DOS at the Fermi energy, states/eV/atom: 0.9790
Polymorph energy (0 for the lowest one), meV/atom: 95
Symmetry: Fm-3m (225)

Below is crystalline BeOs2N at its relaxed geometry, with properties calculated at the PBE level.

Unit cell a=5.390 b=5.390 c=5.390 alpha=122.61 beta=122.61 gamma=85.54
Fractional positions:
1 Be 0.000 0.000 0.000
2 Be 0.750 0.250 0.500
3 Os 0.173 0.625 0.048
4 Os 0.375 0.423 0.548
5 Os 0.577 0.125 0.952
6 Os 0.875 0.827 0.452
7 N 0.250 0.750 0.500
8 N 0.500 0.500 0.000

Calculated values
Volume, Å³/atom: 13.25
DOS at the Fermi energy, states/eV/atom: 1.3375
Polymorph energy (0 for the lowest one), meV/atom: 0
Symmetry: I-42d (122)

Below is crystalline Be2OsN at its relaxed geometry, with properties calculated at the PBE level.

Unit cell a=4.778 b=4.778 c=4.778 alpha=117.10 beta=117.10 gamma=95.10
Fractional positions:
1 Be 0.375 0.004 0.129
2 Be 0.754 0.625 0.629
3 Be 0.875 0.246 0.871
4 Be 0.996 0.125 0.371
5 Os 0.250 0.750 0.500
6 Os 0.500 0.500 0.000
7 N 0.000 0.000 0.000
8 N 0.750 0.250 0.500

Calculated values
Volume, Å³/atom: 10.02
DOS at the Fermi energy, states/eV/atom: 1.1049
Symmetry: I-42d (122)

Below is crystalline BeOs3N at its relaxed geometry, with properties calculated at the PBE level.

Unit cell a=3.993 b=3.993 c=3.993 alpha=90.00 beta=90.00 gamma=90.00
Fractional positions:
1 Be 0.000 0.000 0.000
2 Os 0.000 0.500 0.500
3 Os 0.500 0.000 0.500
4 Os 0.500 0.500 0.000
5 N 0.500 0.500 0.500

Calculated values
Volume, Å³/atom: 12.74
DOS at the Fermi energy, states/eV/atom: 1.0055
Polymorph energy (0 for the lowest one), meV/atom: 0
Symmetry: Pm-3m (221)

Below is crystalline BeOsRu2N at its relaxed geometry, with properties calculated at the PBE level.

Unit cell a=4.049 b=4.049 c=4.086 alpha=90.00 beta=90.00 gamma=90.00
Fractional positions:
1 Be 0.000 0.000 0.000
2 Os 0.000 0.000 0.500
3 Ru 0.000 0.500 0.000
4 Ru 0.500 0.000 0.000
5 N 0.500 0.500 0.500

Calculated values
Volume, Å³/atom: 13.40
DOS at the Fermi energy, states/eV/atom: 0.7871
Symmetry: P4/mmm (123)

Below is crystalline BeOsSN2 at its relaxed geometry, with properties calculated at the PBE level.

Unit cell a=3.451 b=3.451 c=4.423 alpha=90.00 beta=90.00 gamma=90.00
Fractional positions:
1 Be 0.000 0.000 0.000
2 Os 0.500 0.500 0.500
3 S 0.000 0.000 0.500
4 N 0.000 0.500 0.000
5 N 0.500 0.000 0.000

Calculated values
Volume, Å³/atom: 10.54
DOS at the Fermi energy, states/eV/atom: 1.1435
Polymorph energy (0 for the lowest one), meV/atom: 692
Symmetry: P4/mmm (123)

Below is crystalline BeOsSN2 at its relaxed geometry, with properties calculated at the PBE level.

Unit cell a=3.721 b=3.721 c=5.245 alpha=90.00 beta=90.00 gamma=90.00
Fractional positions:
1 Be 0.000 0.000 0.000
2 Os 0.500 0.500 0.500
3 S 0.500 0.500 0.000
4 N 0.000 0.500 0.500
5 N 0.500 0.000 0.500

Calculated values
Volume, Å³/atom: 14.52
DOS at the Fermi energy, states/eV/atom: 0.6296
Polymorph energy (0 for the lowest one), meV/atom: 0
Symmetry: P4/mmm (123)

Below is crystalline BeOsSe2N at its relaxed geometry, with properties calculated at the PBE level.

Unit cell a=4.796 b=4.796 c=3.018 alpha=90.00 beta=90.00 gamma=90.00
Fractional positions:
1 Be 0.000 0.000 0.000
2 Os 0.500 0.500 0.500
3 Se 0.000 0.500 0.000
4 Se 0.500 0.000 0.000
5 N 0.000 0.000 0.500

Calculated values
Volume, Å³/atom: 13.89
DOS at the Fermi energy, states/eV/atom: 0.8750
Polymorph energy (0 for the lowest one), meV/atom: 123
Symmetry: P4/mmm (123)

Below is crystalline BeOsSe2N at its relaxed geometry, with properties calculated at the PBE level.

Unit cell a=5.090 b=5.090 c=3.646 alpha=90.00 beta=90.00 gamma=90.00
Fractional positions:
1 Be 0.000 0.000 0.000
2 Os 0.500 0.500 0.500
3 Se 0.000 0.500 0.500
4 Se 0.500 0.000 0.500
5 N 0.500 0.500 0.000

Calculated values
Volume, Å³/atom: 18.89
DOS at the Fermi energy, states/eV/atom: 0.7920
Polymorph energy (0 for the lowest one), meV/atom: 0
Symmetry: P4/mmm (123)

Below is crystalline BeTe2OsN at its relaxed geometry, with properties calculated at the PBE level.

Unit cell a=5.149 b=5.149 c=3.061 alpha=90.00 beta=90.00 gamma=90.00
Fractional positions:
1 Be 0.000 0.000 0.000
2 Te 0.000 0.500 0.000
3 Te 0.500 0.000 0.000
4 Os 0.500 0.500 0.500
5 N 0.000 0.000 0.500

Calculated values
Volume, Å³/atom: 16.23
DOS at the Fermi energy, states/eV/atom: 0.5282
Polymorph energy (0 for the lowest one), meV/atom: 106
Symmetry: P4/mmm (123)

Below is crystalline BeTe2OsN at its relaxed geometry, with properties calculated at the PBE level.

Unit cell a=5.445 b=5.445 c=3.649 alpha=90.00 beta=90.00 gamma=90.00
Fractional positions:
1 Be 0.000 0.000 0.000
2 Te 0.000 0.500 0.500
3 Te 0.500 0.000 0.500
4 Os 0.500 0.500 0.500
5 N 0.500 0.500 0.000

Calculated values
Volume, Å³/atom: 21.63
DOS at the Fermi energy, states/eV/atom: 0.5475
Polymorph energy (0 for the lowest one), meV/atom: 0
Symmetry: P4/mmm (123)

Below is crystalline Be2VOsN at its relaxed geometry, with properties calculated at the PBE level.

Unit cell a=4.195 b=4.195 c=4.382 alpha=90.00 beta=90.00 gamma=90.00
Fractional positions:
1 Be 0.000 0.500 0.000
2 Be 0.500 0.000 0.000
3 V 0.000 0.000 0.000
4 Os 0.000 0.000 0.500
5 N 0.500 0.500 0.500

Calculated values
Volume, Å³/atom: 15.42
DOS at the Fermi energy, states/eV/atom: 0.9470
Symmetry: P4/mmm (123)

Below is crystalline BeZnOs2N at its relaxed geometry, with properties calculated at the PBE level.

Unit cell a=4.205 b=4.205 c=3.247 alpha=90.00 beta=90.00 gamma=90.00
Fractional positions:
1 Be 0.000 0.000 0.000
2 Zn 0.500 0.500 0.000
3 Os 0.000 0.500 0.500
4 Os 0.500 0.000 0.500
5 N 0.000 0.000 0.500

Calculated values
Volume, Å³/atom: 11.48
DOS at the Fermi energy, states/eV/atom: 0.8664
Symmetry: P4/mmm (123)

Below is crystalline BeP3N at its relaxed geometry, with properties calculated at the PBE level.

Unit cell a=4.105 b=4.105 c=4.105 alpha=90.00 beta=90.00 gamma=90.00
Fractional positions:
1 Be 0.000 0.000 0.000
2 P 0.000 0.000 0.500
3 P 0.000 0.500 0.000
4 P 0.500 0.000 0.000
5 N 0.500 0.500 0.500

Calculated values
Volume, Å³/atom: 13.83
DOS at the Fermi energy, states/eV/atom: 0.8949
Polymorph energy (0 for the lowest one), meV/atom: 531
Symmetry: Pm-3m (221)

Below is crystalline BeP3N at its relaxed geometry, with properties calculated at the PBE level.

Unit cell a=3.999 b=3.999 c=3.999 alpha=90.00 beta=90.00 gamma=90.00
Fractional positions:
1 Be 0.000 0.000 0.000
2 P 0.000 0.500 0.500
3 P 0.500 0.000 0.500
4 P 0.500 0.500 0.000
5 N 0.500 0.500 0.500

Calculated values
Volume, Å³/atom: 12.79
DOS at the Fermi energy, states/eV/atom: 0.7066
Polymorph energy (0 for the lowest one), meV/atom: 0
Symmetry: Pm-3m (221)

Below is crystalline BeP2N2 at its relaxed geometry, with properties calculated at the PBE level.

Unit cell a=5.250 b=5.250 c=3.494 alpha=90.00 beta=90.00 gamma=90.00
Fractional positions:
1 Be 0.000 0.000 0.000
2 Be 0.500 0.500 0.000
3 P 0.206 0.294 0.500
4 P 0.294 0.794 0.500
5 P 0.706 0.206 0.500
6 P 0.794 0.706 0.500
7 N 0.206 0.294 0.000
8 N 0.294 0.794 0.000
9 N 0.706 0.206 0.000
10 N 0.794 0.706 0.000

Calculated values
Volume, Å³/atom: 9.63
DOS at the Fermi energy, states/eV/atom: 0.1930
Polymorph energy (0 for the lowest one), meV/atom: 0
Symmetry: P4/mbm (127)

| no. | raw formation energy (eV per atom) |
| --- | --- |
| 1 | -0.756 |
| 2 | 0.007 |
| 3 | 1.565 |
| 4 | 0.832 |
| 5 | 1.575 |
| 6 | 0.640 |
| 7 | -0.530 |
| 8 | -0.705 |
| 9 | 0.378 |
| 10 | -1.508 |
| 11 | 1.020 |
| 12 | 0.925 |
| 13 | 0.264 |
| 14 | 0.724 |
| 15 | 1.907 |
| 16 | 1.492 |
| 17 | 0.799 |
| 18 | 0.872 |
| 19 | 0.748 |
| 20 | 0.827 |
| 21 | 0.722 |
| 22 | 2.544 |
| 23 | 0.359 |
| 24 | 1.627 |
| 25 | 1.096 |
| 26 | 0.461 |